No. 1
VASP calculation (PBE-GGA) on an optimized crystal structure of LaPm14Pb.

Cell and atoms, written as POSCAR:
```
LaPm14Pb
1.0
7.2466 0.0000 0.0000
0.0000 7.2466 0.0000
0.0000 0.0000 10.2592
La Pm Pb
1 14 1
direct
0.0000 0.0000 0.0000
0.0000 0.0000 0.5000
0.0000 0.5000 0.0000
0.0000 0.5000 0.5000
0.2531 0.2531 0.2470
0.2531 0.2531 0.7530
0.2531 0.7469 0.2470
0.2531 0.7469 0.7530
0.5000 0.0000 0.0000
0.5000 0.0000 0.5000
0.5000 0.5000 0.5000
0.7469 0.2531 0.2470
0.7469 0.2531 0.7530
0.7469 0.7469 0.2470
0.7469 0.7469 0.7530
0.5000 0.5000 0.0000
```

## Properties
Space-group type: No. 123
N(E_F): 23.08 states/eV per cell
Energy: -4.74 eV/atom

No. 2
VASP calculation (PBE-GGA) on an optimized crystal structure of Sr3SiPt2.

Cell and atoms, written as POSCAR:
```
Sr3SiPt2
1.0
6.2055 0.0000 0.0000
0.0000 11.6354 0.0000
-3.2408 0.0000 9.5948
Sr Si Pt
12 4 8
direct
0.1705 0.2319 0.3305
0.1705 0.2681 0.8305
0.2234 0.5979 0.9806
0.2234 0.9021 0.4806
0.2956 0.5450 0.6040
0.2956 0.9550 0.1040
0.7044 0.0450 0.8960
0.7044 0.4550 0.3960
0.7766 0.0979 0.5194
0.7766 0.4021 0.0194
0.8295 0.7319 0.1695
0.8295 0.7681 0.6695
0.3964 0.6979 0.3204
0.3964 0.8021 0.8204
0.6036 0.1979 0.1796
0.6036 0.3021 0.6796
0.1928 0.5236 0.2753
0.1928 0.9764 0.7753
0.3583 0.1433 0.6329
0.3583 0.3567 0.1329
0.6417 0.6433 0.8671
0.6417 0.8567 0.3671
0.8072 0.0236 0.2247
0.8072 0.4764 0.7247
```

## Properties
Space-group type: No. 14
Raw formation energy: -0.7328 eV/atom
N(E_F): 9.98 states/eV per cell

No. 3
VASP calculation (PBE-GGA) on an optimized crystal structure of NdSc5.

Cell and atoms, written as POSCAR:
```
NdSc5
1.0
12.0821 0.0000 0.0000
0.0000 3.3921 0.0000
-1.7888 0.0000 7.6658
Nd Sc
2 10
direct
0.0000 0.0000 0.0000
0.5000 0.5000 0.0000
0.1193 0.5000 0.7201
0.1723 0.5000 0.3482
0.2781 0.0000 0.0716
0.3330 0.0000 0.6640
0.4472 0.5000 0.4001
0.6193 0.0000 0.7201
0.6723 0.0000 0.3482
0.7781 0.5000 0.0716
0.8330 0.5000 0.6640
0.9472 0.0000 0.4001
```

## Properties
Space-group type: No. 8
N(E_F): 21.43 states/eV per cell
Energy: -6.04 eV/atom